*w*
VASP calculation (PBE) on a relaxed La2Mo2Au crystal.

Summary:
space-group type = I4/mmm, No. 139
density = 8.87 Mg/m³

POSCAR file:
```
La2Mo2Au
1.0
3.683 0.000 0.000
0.000 3.683 0.000
1.842 1.842 9.203
Mo Au La
2 1 2
Direct
0.750 0.250 0.500 Mo
0.250 0.750 0.500 Mo
0.000 0.000 0.000 Au
0.394 0.394 0.212 La
0.606 0.606 0.788 La
```


*x*
VASP calculation (PBE) on a relaxed La2Mo2Au crystal.

Summary:
space-group type = P4/mbm, No. 127
density = 9.28 Mg/m³

POSCAR file:
```
La2Mo2Au
1.0
-3.841 -4.850 3.788
1.535 -5.079 -4.946
3.724 -1.136 2.321
Mo Au La
4 2 4
Direct
0.386 0.886 0.000 Mo
0.886 0.614 0.000 Mo
0.614 0.114 0.000 Mo
0.114 0.386 0.000 Mo
0.000 0.000 0.000 Au
0.500 0.500 0.000 Au
0.186 0.686 0.500 La
0.686 0.814 0.500 La
0.814 0.314 0.500 La
0.314 0.186 0.500 La
```


*y*
VASP calculation (PBE) on a relaxed La2Mo2Au crystal.

Summary:
space-group type = P4/mbm, No. 127
density = 8.42 Mg/m³

POSCAR file:
```
La2Mo2Au
1.0
8.757 0.000 0.000
0.000 8.757 0.000
0.000 0.000 3.429
Mo Au La
4 2 4
Direct
0.089 0.589 0.500 Mo
0.589 0.911 0.500 Mo
0.911 0.411 0.500 Mo
0.411 0.089 0.500 Mo
0.000 0.000 0.000 Au
0.500 0.500 0.000 Au
0.303 0.803 0.000 La
0.803 0.697 0.000 La
0.697 0.197 0.000 La
0.197 0.303 0.000 La
```


The structure with the least stability is *y*.


*w*
VASP calculation (PBE) on a relaxed La3AuN crystal.

Summary:
space-group type = R-3, No. 148
density = 7.58 Mg/m³

POSCAR file:
```
La3AuN
1.0
1.864 1.315 7.703
1.618 -5.165 5.937
6.817 -1.357 4.029
N Au La
2 2 6
Direct
0.163 0.163 0.163 N
0.837 0.837 0.837 N
0.343 0.343 0.343 Au
0.657 0.657 0.657 Au
0.432 0.067 0.796 La
0.067 0.796 0.432 La
0.204 0.568 0.933 La
0.933 0.204 0.568 La
0.568 0.933 0.204 La
0.796 0.432 0.067 La
```


*x*
VASP calculation (PBE) on a relaxed La3AuN crystal.

Summary:
space-group type = Cmcm, No. 63
density = 6.62 Mg/m³

POSCAR file:
```
La3AuN
1.0
3.584 -5.437 0.000
3.584 5.437 0.000
0.000 0.000 8.077
N Au La
2 2 6
Direct
0.124 0.876 0.250 N
0.876 0.124 0.750 N
0.478 0.522 0.250 Au
0.522 0.478 0.750 Au
0.969 0.507 0.250 La
0.493 0.031 0.250 La
0.507 0.969 0.750 La
0.031 0.493 0.750 La
0.000 0.000 0.000 La
0.000 0.000 0.500 La
```


The structure with the least stability is *x*.


*w*
VASP calculation (PBE) on a relaxed La3AuN crystal.

Summary:
space-group type = Cmcm, No. 63
density = 8.08 Mg/m³

POSCAR file:
```
La3AuN
1.0
-0.187 1.912 -3.292
1.677 -6.559 -1.699
-9.788 -2.301 -0.781
La Au N
6 2 2
Direct
0.059 0.119 0.750 La
0.941 0.881 0.250 La
0.378 0.756 0.557 La
0.622 0.244 0.443 La
0.622 0.244 0.057 La
0.378 0.756 0.943 La
0.249 0.498 0.250 Au
0.751 0.502 0.750 Au
0.000 0.000 0.500 N
0.000 0.000 0.000 N
```


*x*
VASP calculation (PBE) on a relaxed La3AuN crystal.

Summary:
space-group type = I-4m2, No. 119
density = 6.78 Mg/m³

POSCAR file:
```
La3AuN
1.0
6.901 0.000 0.000
0.000 6.901 0.000
3.451 3.451 6.458
N Au La
2 2 6
Direct
0.000 0.000 0.000 N
0.250 0.750 0.500 N
0.589 0.089 0.821 Au
0.911 0.411 0.179 Au
0.139 0.885 0.230 La
0.115 0.861 0.770 La
0.115 0.369 0.770 La
0.631 0.885 0.230 La
0.378 0.378 0.245 La
0.622 0.622 0.755 La
```


The structure with the least stability is *x*.